# ErCo4Cu3O12, optimized geometry, DFT PBE with a Hubbard U
data_ErCo4Cu3O12
_symmetry_space_group_name_H-M 'I m -3'
_symmetry_Int_Tables_number 204
_symmetry_space_group_name_Hall '-I 2 2 3'
_cell_length_a 7.264
_cell_length_b 7.264
_cell_length_c 7.264
_cell_angle_alpha 90.00
_cell_angle_beta 90.00
_cell_angle_gamma 90.00
loop_
_atom_site_label
_atom_site_type_symbol
_atom_site_fract_x
_atom_site_fract_y
_atom_site_fract_z
Er1 Er 0.000 0.000 0.000
Co1 Co 0.250 0.250 0.250
Cu1 Cu 0.000 0.000 0.500
O1 O 0.000 0.170 0.304
# - VASP energy: -5.94 eV per atom